First-principles (SCAN) data for RbTaRe2Se at its PBEsol-relaxed geometry, as listed in Alexandria.

Cell lengths 4.6702, 4.6702, 4.7373 Å; angles 90.00, 90.00, 90.00 degrees
Each line ends with the local moment (μB).
Atoms (fractional coordinates):
Re  0.0000  0.5000  0.0000  0.75
Re  0.5000  0.0000  0.0000  0.75
Ta  0.0000  0.0000  0.5000  -0.21
Rb  0.0000  0.0000  0.0000  0.00
Se  0.5000  0.5000  0.5000  -0.07

Results
mass density = 11.536 Mg/m³
E_tot = -45.7646 eV/atom
calculated volume = 20.7 Å³ per atom
formation energy (no corrections) = 4.15 eV/atom
SG = P4/mmm (123)